(1)
LaNd2Er | Alexandria | GGA-PBE | relaxed; polymorph energy (0 for the lowest one) = 0.007 eV per atom; VASP energy = -18.93 eV/f.u.; D(E_F) = 6.98 states/eV/f.u.; magnetic moment = 0.0 μB per formula unit; ρ = 7.13 Mg/m³; crystal system = tetragonal
1.0
3.657 0.000 0.000
0.000 3.657 0.000
0.000 0.000 10.353
La Nd Er
1 2 1
Cartesian
1.828 1.828 5.176
0.000 0.000 2.510
0.000 0.000 7.843
1.828 1.828 0.000


(2)
LaNd8Er6 | Alexandria | GGA-PBE | relaxed; polymorph energy (0 for the lowest one) = 0.043 eV per atom; VASP energy = -67.86 eV/f.u.; D(E_F) = 22.97 states/eV/f.u.; magnetic moment = 0.0 μB per formula unit; ρ = 7.54 Mg/m³; crystal system = trigonal
1.0
9.847 0.000 0.000
4.923 8.527 0.000
4.923 2.842 6.025
Er Nd La
6 8 1
Cartesian
6.497 0.728 0.200
5.968 5.263 0.200
17.388 8.833 5.825
13.726 6.107 5.825
2.305 2.537 0.200
13.196 10.642 5.825
6.374 6.923 3.110
9.182 9.312 2.915
12.655 8.074 3.110
13.320 4.447 2.915
9.847 5.685 1.460
9.847 5.685 4.565
7.038 3.296 2.915
10.511 2.058 3.110
0.000 0.000 0.000


(3)
La3NdEr2 | Alexandria | GGA-PBE | relaxed; polymorph energy (0 for the lowest one) = 0.164 eV per atom; VASP energy = -26.89 eV/f.u.; D(E_F) = 10.36 states/eV/f.u.; magnetic moment = 0.0 μB per formula unit; ρ = 7.10 Mg/m³; crystal system = orthorhombic
1.0
3.502 0.000 0.000
0.000 6.028 0.000
-1.751 -3.014 9.916
Er Nd La
2 1 3
Cartesian
0.000 0.000 7.189
1.751 3.014 2.727
0.000 0.000 0.000
1.751 3.014 6.167
0.000 3.014 0.000
0.000 0.000 3.749


(4)
La4Nd11Er9 | Alexandria | GGA-PBE | relaxed; VASP energy = -111.46 eV/f.u.; D(E_F) = 30.89 states/eV/f.u.; magnetic moment = 0.0 μB per formula unit; ρ = 7.42 Mg/m³; crystal system = orthorhombic
1.0
-2.293 2.610 1.387
-7.233 -10.760 8.289
11.813 6.379 7.521
Er Nd La
9 11 4
Cartesian
-2.899 -5.378 10.370
-1.904 -0.542 2.917
5.186 3.607 6.827
1.420 -3.722 14.392
-3.820 -4.497 7.190
6.107 2.726 10.007
0.867 1.951 2.805
4.191 -1.229 14.280
1.143 -0.885 8.598
-2.417 -4.089 3.699
0.100 -6.497 12.388
6.996 -0.291 12.110
4.859 0.121 7.801
3.261 -3.120 11.258
8.782 3.652 7.643
0.000 0.000 0.000
1.318 -1.261 4.552
-4.203 -8.033 8.166
4.480 2.116 3.421
-0.279 -4.502 8.008
-0.058 -3.283 11.124
2.345 1.512 6.073
-1.476 -1.926 6.227
3.763 0.155 10.970


(5)
La2Nd6Er5 | Alexandria | GGA-PBE | relaxed; VASP energy = -59.96 eV/f.u.; D(E_F) = 16.09 states/eV/f.u.; magnetic moment = 0.0 μB per formula unit; ρ = 7.35 Mg/m³; crystal system = orthorhombic
1.0
-3.412 0.806 1.056
1.503 -6.521 9.835
6.986 16.582 9.926
Nd Er La
12 10 4
Cartesian
5.435 10.511 15.897
2.919 9.582 8.472
1.821 -1.524 7.050
5.826 4.545 15.366
2.662 5.516 4.395
2.158 1.285 12.345
4.692 6.678 10.070
3.797 3.383 9.691
6.667 11.585 12.711
7.867 9.170 18.432
0.622 0.891 1.330
-0.359 0.356 4.920
3.939 9.720 11.663
1.138 1.147 9.153
1.855 5.834 7.893
1.787 8.694 5.491
5.199 14.770 11.883
3.222 5.033 12.924
5.095 7.422 17.157
-0.019 3.445 3.660
-0.123 -3.903 8.933
-0.955 -2.857 5.445
2.774 -1.828 10.363
2.474 2.503 6.086
6.015 7.558 13.675
5.714 11.889 9.398


(6)
La3NdEr | Alexandria | GGA-PBE | relaxed; polymorph energy (0 for the lowest one) = 0.037 eV per atom; VASP energy = -23.13 eV/f.u.; D(E_F) = 7.54 states/eV/f.u.; magnetic moment = 0.0 μB per formula unit; ρ = 6.73 Mg/m³; crystal system = orthorhombic
1.0
-3.766 3.455 -3.244
-1.863 -3.117 4.490
2.190 9.311 7.373
La Nd Er
6 2 2
Cartesian
-2.103 5.052 2.175
-1.335 4.596 6.445
-2.764 2.243 -0.050
-0.674 7.405 8.669
1.252 6.838 5.829
-4.691 2.810 2.791
0.000 0.000 0.000
1.095 4.655 3.687
-1.765 8.145 5.076
-1.674 1.504 3.544


(7)
LaNd7Er2 | Alexandria | GGA-PBE | relaxed; polymorph energy (0 for the lowest one) = 0.555 eV per atom; VASP energy = -41.14 eV/f.u.; D(E_F) = 14.19 states/eV/f.u.; magnetic moment = 0.0 μB per formula unit; ρ = 5.83 Mg/m³; crystal system = orthorhombic
1.0
-4.316 2.171 -3.230
1.515 -6.504 -6.395
-5.904 -1.337 6.990
Nd Er La
7 2 1
Cartesian
-6.632 -4.738 0.449
-4.885 -5.955 -2.704
-4.189 -2.531 3.895
-0.200 -5.309 -3.301
-2.073 -0.932 -3.085
-3.820 0.285 0.068
-4.352 -2.835 -1.318
-2.843 -3.886 -4.041
-5.862 -1.784 1.405
0.000 0.000 0.000


(8)
La5Nd2Er6 | Alexandria | GGA-PBE | relaxed; VASP energy = -60.34 eV/f.u.; D(E_F) = 18.22 states/eV/f.u.; magnetic moment = 0.0 μB per formula unit; ρ = 7.39 Mg/m³; crystal system = orthorhombic
1.0
-1.960 1.283 -2.768
4.133 -8.551 -6.889
-16.031 -12.299 5.648
Er La Nd
12 10 4
Cartesian
-12.178 -16.056 -1.196
-6.417 -15.960 -2.854
-7.318 -10.590 0.272
-10.178 -8.662 0.816
-0.745 -1.457 -0.148
-5.481 -4.890 1.614
0.015 -6.534 -3.039
-4.580 -10.260 -1.513
-1.680 -3.510 -2.813
-3.680 -10.905 -4.824
-11.913 -14.316 1.798
-11.153 -19.393 -1.092
-7.223 -12.306 -2.966
1.086 -3.634 -4.829
-10.536 -11.858 -0.412
-8.995 -5.508 1.440
-6.635 -7.260 -1.043
-4.099 -2.444 -0.606
-15.097 -12.487 2.525
1.239 -7.080 -6.534
-9.759 -17.123 -3.402
-3.322 -7.708 -3.596
-8.847 -14.970 -0.675
-0.403 -9.708 -4.214
-3.051 -5.879 -0.565
-11.495 -11.142 2.974


Number 1: energy of formation from the pure elements 24 meV/atom. Number 2: energy of formation from the pure elements 172 meV/atom. Number 3: energy of formation from the pure elements 298 meV/atom. Number 4: energy of formation from the pure elements 73 meV/atom. Number 5: energy of formation from the pure elements 102 meV/atom. Number 6: energy of formation from the pure elements 197 meV/atom. Number 7: energy of formation from the pure elements 629 meV/atom. Number 8: energy of formation from the pure elements 93 meV/atom.